(1)
A geometry-optimized ScCr2Ni structure. Source: Alexandria, functional PBE.

abc: 8.486 2.591 5.010
angles: 90.00 95.79 90.00
Positions (direct):
Sc (0.000, 0.000, 0.000)
Sc (0.500, 0.500, 0.000)
Cr (0.232, 0.000, 0.677)
Cr (0.467, 0.000, 0.506)
Cr (0.732, 0.500, 0.677)
Cr (0.967, 0.500, 0.506)
Ni (0.249, 0.500, 0.229)
Ni (0.749, 0.000, 0.229)

Computed properties:
- ΔH_f (0 K) (kJ per mole of atoms) = 26.9



(2)
A geometry-optimized BiTeAuO6 structure. Source: Alexandria, functional PBE.

abc: 5.569 5.569 9.752
angles: 90.00 90.00 120.00
Positions (direct):
Bi (0.333, 0.667, 0.250)
Bi (0.667, 0.333, 0.750)
Te (0.333, 0.667, 0.750)
Te (0.667, 0.333, 0.250)
Au (0.000, 0.000, 0.000)
Au (0.000, 0.000, 0.500)
O (0.030, 0.376, 0.636)
O (0.030, 0.653, 0.864)
O (0.347, 0.376, 0.864)
O (0.347, 0.970, 0.636)
O (0.376, 0.030, 0.136)
O (0.376, 0.347, 0.364)
O (0.624, 0.653, 0.636)
O (0.624, 0.970, 0.864)
O (0.653, 0.030, 0.364)
O (0.653, 0.624, 0.136)
O (0.970, 0.347, 0.136)
O (0.970, 0.624, 0.364)

Computed properties:
- formation energy (no corrections) (eV/atom) = -0.586



(3)
A geometry-optimized CaCNO2 structure. Source: Alexandria, functional PBE.

abc: 4.403 4.403 4.612
angles: 90.00 90.00 90.00
Positions (direct):
Ca (0.000, 0.000, 0.000)
C (0.500, 0.500, 0.500)
N (0.000, 0.000, 0.500)
O (0.000, 0.500, 0.000)
O (0.500, 0.000, 0.000)

Computed properties:
- formation energy (no corrections) (eV/atom) = 2.046



(4)
A geometry-optimized HoTmCd2 structure. Source: Alexandria, functional PBE.

abc: 7.422 7.422 7.422
angles: 90.00 90.00 90.00
Positions (direct):
Ho (0.000, 0.000, 0.000)
Ho (0.000, 0.500, 0.500)
Ho (0.500, 0.000, 0.500)
Ho (0.500, 0.500, 0.000)
Tm (0.000, 0.000, 0.500)
Tm (0.000, 0.500, 0.000)
Tm (0.500, 0.000, 0.000)
Tm (0.500, 0.500, 0.500)
Cd (0.250, 0.250, 0.250)
Cd (0.250, 0.250, 0.750)
Cd (0.250, 0.750, 0.250)
Cd (0.250, 0.750, 0.750)
Cd (0.750, 0.250, 0.250)
Cd (0.750, 0.250, 0.750)
Cd (0.750, 0.750, 0.250)
Cd (0.750, 0.750, 0.750)

Computed properties:
- ΔH_f (0 K) (kJ per mole of atoms) = -30.7



(5)
A geometry-optimized Sm3Dy2Y4 structure. Source: Alexandria, functional PBE.

abc: 10.120 10.120 6.114
angles: 95.37 95.37 70.18
Positions (direct):
Sm (0.097, 0.903, 0.750)
Sm (0.232, 0.434, 0.917)
Sm (0.434, 0.232, 0.417)
Sm (0.566, 0.768, 0.583)
Sm (0.768, 0.566, 0.083)
Sm (0.903, 0.097, 0.250)
Dy (0.021, 0.742, 0.180)
Dy (0.258, 0.979, 0.320)
Dy (0.742, 0.021, 0.680)
Dy (0.979, 0.258, 0.820)
Y (0.078, 0.348, 0.351)
Y (0.314, 0.591, 0.485)
Y (0.348, 0.078, 0.851)
Y (0.409, 0.686, 0.015)
Y (0.591, 0.314, 0.985)
Y (0.652, 0.922, 0.149)
Y (0.686, 0.409, 0.515)
Y (0.922, 0.652, 0.649)

Computed properties:
- ΔH_f (0 K) (kJ per mole of atoms) = 9.5



(6)
A geometry-optimized FeAgIr2 structure. Source: Alexandria, functional PBE.

abc: 2.745 3.860 5.607
angles: 90.00 90.00 90.00
Positions (direct):
Fe (0.000, 0.000, 0.000)
Ag (0.500, 0.500, 0.740)
Ir (0.000, 0.000, 0.456)
Ir (0.500, 0.500, 0.233)

Computed properties:
- ΔH_f (0 K) (kJ per mole of atoms) = 24.5



(7)
A geometry-optimized PRhAu structure. Source: Alexandria, functional PBE.

abc: 7.726 3.736 7.102
angles: 90.00 107.33 90.00
Positions (direct):
P (0.059, 0.000, 0.325)
P (0.441, 0.500, 0.675)
P (0.559, 0.500, 0.325)
P (0.941, 0.000, 0.675)
Rh (0.249, 0.500, 0.349)
Rh (0.251, 0.000, 0.651)
Rh (0.749, 0.000, 0.349)
Rh (0.751, 0.500, 0.651)
Au (0.127, 0.500, 0.891)
Au (0.373, 0.000, 0.109)
Au (0.627, 0.000, 0.891)
Au (0.873, 0.500, 0.109)

Computed properties:
- ΔH_f (0 K) (kJ per mole of atoms) = -27.0



(8)
A geometry-optimized K2IrBr structure. Source: Alexandria, functional PBE.

abc: 12.361 3.388 5.754
angles: 90.00 101.29 90.00
Positions (direct):
K (0.000, 0.000, 0.000)
K (0.228, 0.500, 0.574)
K (0.500, 0.500, 0.000)
K (0.728, 0.000, 0.574)
Ir (0.451, 0.000, 0.466)
Ir (0.951, 0.500, 0.466)
Br (0.277, 0.000, 0.105)
Br (0.777, 0.500, 0.105)

Computed properties:
- formation energy (no corrections) (eV/atom) = 0.138



(9)
A geometry-optimized Cs2TlGaSe4 structure. Source: Alexandria, functional PBE.

abc: 14.626 13.014 8.154
angles: 84.07 62.25 33.68
Positions (direct):
Cs (0.056, 0.056, 0.694)
Cs (0.306, 0.306, 0.944)
Cs (0.694, 0.694, 0.056)
Cs (0.944, 0.944, 0.306)
Tl (0.125, 0.125, 0.125)
Tl (0.875, 0.875, 0.875)
Ga (0.375, 0.375, 0.375)
Ga (0.625, 0.625, 0.625)
Se (0.001, 0.640, 0.560)
Se (0.299, 0.560, 0.640)
Se (0.360, 0.999, 0.701)
Se (0.440, 0.701, 0.999)
Se (0.560, 0.299, 0.001)
Se (0.640, 0.001, 0.299)
Se (0.701, 0.440, 0.360)
Se (0.999, 0.360, 0.440)

Computed properties:
- formation energy (no corrections) (eV/atom) = -0.808



(10)
A geometry-optimized CdSnGe structure. Source: Alexandria, functional PBE.

abc: 6.824 6.824 6.824
angles: 90.00 90.00 90.00
Positions (direct):
Cd (0.000, 0.000, 0.000)
Cd (0.000, 0.500, 0.500)
Cd (0.500, 0.000, 0.500)
Cd (0.500, 0.500, 0.000)
Sn (0.000, 0.000, 0.500)
Sn (0.000, 0.500, 0.000)
Sn (0.500, 0.000, 0.000)
Sn (0.500, 0.500, 0.500)
Ge (0.250, 0.250, 0.750)
Ge (0.250, 0.750, 0.250)
Ge (0.750, 0.250, 0.250)
Ge (0.750, 0.750, 0.750)

Computed properties:
- ΔH_f (0 K) (kJ per mole of atoms) = 15.2